[1]
A plane-wave DFT calculation with GGA-PBE was carried out for GdFe2 after structural relaxation.

Its total magnetization is 1.476 μB/atom. Its energy relative to the elements is 3.455 eV per formula unit. The total DFT energy (no corrections) comes out at -5.939 eV per atom. The value obtained for the volume is 65.3 Å³/f.u.

The structure belongs to space group P4_2/mnm (No. 136); the cell edges are 4.943, 4.943 and 5.345 Å and the angles 90.00°, 90.00° and 90.00°. The asymmetric unit holds Gd at (0.000, 0.000, 0.000) and Fe at (0.147, 0.147, 0.500).

---

[2]
A plane-wave DFT calculation with GGA-PBE was carried out for GdFe after structural relaxation.

Its total magnetization is 0.856 μB/atom. Its energy relative to the elements is 1.041 eV per formula unit. The total DFT energy (no corrections) comes out at -5.961 eV per atom. The value obtained for the volume is 43.1 Å³/f.u.

The structure belongs to space group P-6m2 (No. 187); the cell edges are 3.5026, 3.5026 and 4.0529 Å and the angles 90.00°, 90.00° and 120.00°. The asymmetric unit holds Gd at (0.0000, 0.0000, 0.0000) and Fe at (0.3333, 0.6667, 0.5000).

---

[3]
A plane-wave DFT calculation with GGA-PBE was carried out for Gd3Fe after structural relaxation.

Its total magnetization is 0.323 μB/atom. Its energy relative to the elements is 1.170 eV per formula unit. The total DFT energy (no corrections) comes out at -5.275 eV per atom. The value obtained for the volume is 103.1 Å³/f.u.

The structure belongs to space group P6_3/mmc (No. 194); the cell edges are 7.2169, 7.2169 and 4.5720 Å and the angles 90.00°, 90.00° and 120.00°. The asymmetric unit holds Gd at (0.1860, 0.3721, 0.2500) and Fe at (0.3333, 0.6667, 0.7500).

---

[4]
A plane-wave DFT calculation with GGA-PBE was carried out for GdFe after structural relaxation.

Its total magnetization is 0.814 μB/atom. Its energy relative to the elements is 1.994 eV per formula unit. The total DFT energy (no corrections) comes out at -5.484 eV per atom. The value obtained for the volume is 54.1 Å³/f.u.

The structure belongs to space group P6_3/mmc (No. 194); the cell edges are 4.7417, 4.7417 and 5.5593 Å and the angles 90.00°, 90.00° and 120.00°. The asymmetric unit holds Gd at (0.3333, 0.6667, 0.2500) and Fe at (0.3333, 0.6667, 0.7500).

---

[5]
A plane-wave DFT calculation with GGA-PBE was carried out for GdFe after structural relaxation.

Its total magnetization is 0.813 μB/atom. Its energy relative to the elements is 1.141 eV per formula unit. The total DFT energy (no corrections) comes out at -5.911 eV per atom. The value obtained for the volume is 45.2 Å³/f.u.

The structure belongs to space group Fm-3m (No. 225); the cell edges are 5.654, 5.654 and 5.654 Å and the angles 90.00°, 90.00° and 90.00°. The asymmetric unit holds Gd at (0.000, 0.000, 0.000) and Fe at (0.000, 0.000, 0.500).

---

[6]
A plane-wave DFT calculation with GGA-PBE was carried out for GdFeGe3 after structural relaxation.

Its total magnetization is 0.000 μB/atom. The total DFT energy (no corrections) comes out at -5.803 eV per atom. The value obtained for the volume is 93.6 Å³/f.u.

The structure belongs to space group Cmmm (No. 65); the cell edges are 4.172, 21.576 and 4.159 Å and the angles 90.00°, 90.00° and 90.00°. The asymmetric unit holds Gd at (0.000, 0.170, 0.000), Fe at (0.000, 0.392, 0.500), Ge at (0.000, 0.059, 0.500), Ge at (0.000, 0.287, 0.500) and Ge at (0.000, 0.441, 0.000).

---

[7]
A plane-wave DFT calculation with GGA-PBE was carried out for LaGdFe2Ge4 after structural relaxation.

Its total magnetization is 0.000 μB/atom. The total DFT energy (no corrections) comes out at -6.141 eV per atom. The value obtained for the volume is 150.3 Å³/f.u.

The structure belongs to space group Pm (No. 6); the cell edges are 4.414, 4.260 and 8.257 Å and the angles 90.00°, 104.48° and 90.00°. The asymmetric unit holds La at (0.000, 0.000, 0.000), Gd at (0.752, 0.500, 0.579), Fe at (0.260, 0.000, 0.403), Fe at (0.498, 0.500, 0.184), Ge at (0.066, 0.500, 0.295), Ge at (0.312, 0.000, 0.688), Ge at (0.445, 0.500, 0.891) and Ge at (0.694, 0.000, 0.296).

---

[8]
A plane-wave DFT calculation with GGA-PBE was carried out for LaGdFe2Ge4 after structural relaxation.

Its total magnetization is 0.223 μB/atom. The total DFT energy (no corrections) comes out at -6.089 eV per atom. The value obtained for the volume is 151.2 Å³/f.u.

The structure belongs to space group Amm2 (No. 38); the cell edges are 4.242, 4.249 and 16.777 Å and the angles 90.00°, 90.00° and 90.00°. The asymmetric unit holds La at (0.000, 0.000, 0.000), Gd at (0.500, 0.000, 0.781), Fe at (0.000, 0.000, 0.210), Fe at (0.500, 0.000, 0.573), Ge at (0.000, 0.000, 0.345), Ge at (0.000, 0.000, 0.644), Ge at (0.500, 0.000, 0.144) and Ge at (0.500, 0.000, 0.435).

---

Which value of total DFT energy (no corrections) does entry 2 give?
-5.961 eV per atom

---

What is the total DFT energy (no corrections) in the first record?
-5.939 eV per atom